No. 1
PBE Ho8GaCu2, optimized geometry; D(E_F) = 0.823 states/eV per atom; offset from the most stable computed form = 0.000 eV per atom; crystal system = monoclinic; energy relative to the elements = -2.1 eV/f.u.
1.0
-1.671 -4.697 -0.755
6.074 -2.452 1.812
-4.029 2.922 7.576
Ho Ga Cu
8 1 2
direct
0.327 0.015 0.653
0.406 0.536 0.813
0.033 0.782 0.065
0.803 0.675 0.606
0.197 0.325 0.394
0.967 0.218 0.935
0.594 0.464 0.187
0.673 0.985 0.347
0.500 0.000 0.000
0.182 0.716 0.364
0.818 0.284 0.636


No. 2
PBE GaMo, optimized geometry; D(E_F) = 1.508 states/eV per atom; offset from the most stable computed form = 1.765 eV per atom; crystal system = cubic; energy relative to the elements = 3.4 eV/f.u.
1.0
5.730 0.000 0.000
0.000 5.730 0.000
0.000 0.000 5.730
Ga Mo
4 4
direct
0.250 0.250 0.250
0.750 0.250 0.750
0.750 0.750 0.250
0.250 0.750 0.750
0.500 0.500 0.000
0.500 0.000 0.500
0.000 0.000 0.000
0.000 0.500 0.500


No. 3
PBE K6TeI2O, optimized geometry; raw total energy = -0.1084 hartree per atom; crystal system = orthorhombic
1.0
-4.214 5.390 4.052
-7.493 -2.294 -4.742
-2.632 -8.145 8.099
Te O K I
2 2 12 4
direct
0.000 0.690 0.500
0.500 0.310 0.000
0.500 0.204 0.500
0.000 0.796 0.000
0.000 0.795 0.775
0.000 0.795 0.225
0.729 0.983 0.500
0.248 0.391 0.500
0.252 0.609 0.000
0.500 0.205 0.725
0.752 0.391 0.500
0.771 0.017 0.000
0.748 0.609 0.000
0.271 0.983 0.500
0.500 0.205 0.275
0.229 0.017 0.000
0.000 0.177 0.714
0.500 0.823 0.214
0.000 0.177 0.286
0.500 0.823 0.786


No. 4
PBE SrV2Cl, optimized geometry; D(E_F) = 0.745 states/eV per atom; offset from the most stable computed form = 0.000 eV per atom; crystal system = tetragonal
1.0
4.128 0.000 0.000
0.000 4.128 0.000
2.064 2.064 11.140
V Cl Sr
4 2 2
direct
0.375 0.643 0.750
0.357 0.125 0.250
0.393 0.625 0.250
0.875 0.607 0.750
0.250 0.750 0.500
0.500 0.500 0.000
0.750 0.250 0.500
0.000 0.000 0.000


No. 5
PBE Sr7SnAs6, optimized geometry; crystal system = orthorhombic; energy relative to the elements = -13.7 eV/f.u.
1.0
-3.690 5.883 4.262
-3.597 -4.065 10.287
7.577 5.266 7.080
As Sr Sn
12 14 2
direct
0.885 0.434 0.205
0.615 0.295 0.066
0.889 0.345 0.655
0.385 0.705 0.934
0.976 0.934 0.705
0.111 0.655 0.345
0.611 0.845 0.155
0.389 0.155 0.845
0.115 0.566 0.795
0.024 0.066 0.295
0.476 0.205 0.434
0.524 0.795 0.566
0.750 0.750 0.750
0.215 0.452 0.548
0.491 0.416 0.844
0.715 0.048 0.952
0.750 0.916 0.344
0.509 0.584 0.156
0.250 0.844 0.416
0.009 0.656 0.084
0.750 0.156 0.584
0.250 0.250 0.250
0.250 0.084 0.656
0.785 0.548 0.452
0.991 0.344 0.916
0.285 0.952 0.048
0.750 0.250 0.250
0.250 0.750 0.750


No. 6
PBE Ca2SmSn, optimized geometry; D(E_F) = 0.920 states/eV per atom; offset from the most stable computed form = 0.459 eV per atom; crystal system = trigonal; energy relative to the elements = 0.3 eV/f.u.
1.0
-0.202 3.562 -0.695
-3.081 1.810 0.665
2.868 4.276 11.583
Sm Ca Sn
1 2 1
direct
0.500 0.500 0.500
0.085 0.085 0.745
0.915 0.915 0.255
0.000 0.000 0.000


No. 7
PBE TlSn2F5, optimized geometry; D(E_F) = 0.000 states/eV per atom; offset from the most stable computed form = 0.057 eV per atom; crystal system = monoclinic
1.0
2.794 3.414 0.044
-2.794 3.414 0.044
0.000 0.640 9.164
F Sn Tl
5 2 1
direct
0.023 0.023 0.637
0.834 0.323 0.273
0.323 0.834 0.273
0.349 0.349 0.094
0.651 0.651 0.809
0.329 0.329 0.321
0.730 0.730 0.593
0.979 0.979 0.008


No. 8
PBE NaCeYIn, optimized geometry; D(E_F) = 2.869 states/eV per atom; crystal system = cubic; energy relative to the elements = -0.1 eV/f.u.
1.0
-1.123 5.348 -0.227
-4.440 1.751 -2.671
-4.248 2.023 2.788
Ce Y Na In
1 1 1 1
direct
0.250 0.250 0.250
0.750 0.750 0.750
0.500 0.500 0.500
0.000 0.000 0.000


No. 9
PBE Cd3Ag2, optimized geometry; D(E_F) = 0.325 states/eV per atom; offset from the most stable computed form = 0.023 eV per atom; crystal system = orthorhombic; energy relative to the elements = -0.1 eV/f.u.
1.0
-1.795 0.106 2.465
-4.114 -4.977 -4.671
2.858 -2.491 2.188
Cd Ag
3 2
direct
0.409 0.818 0.409
0.800 0.600 0.800
0.191 0.382 0.191
0.600 0.200 0.600
0.000 0.000 0.000


No. 10
PBE ScMnRe2, optimized geometry; D(E_F) = 0.593 states/eV per atom; offset from the most stable computed form = 0.000 eV per atom; crystal system = cubic; energy relative to the elements = -0.2 eV/f.u.
1.0
-1.879 -3.813 -1.038
2.003 -2.748 -2.754
1.689 -3.750 1.494
Re Mn Sc
2 1 1
direct
0.250 0.250 0.250
0.000 0.000 0.000
0.500 0.500 0.500
0.750 0.750 0.750


No. 11
PBE RbPu2SnBr8, optimized geometry; raw total energy = -0.1939 hartree per atom; D(E_F) = 2.600 states/eV per atom; crystal system = monoclinic
1.0
-3.669 6.255 -0.944
-3.541 -0.976 5.959
6.469 4.488 4.583
Pu Br Sn Rb
2 8 1 1
direct
0.500 0.500 0.754
0.500 0.500 0.246
0.348 0.264 0.000
0.652 0.736 0.000
0.832 0.260 0.777
0.377 0.273 0.500
0.623 0.727 0.500
0.168 0.740 0.223
0.169 0.740 0.777
0.831 0.260 0.223
0.000 0.000 0.000
0.000 0.000 0.500


No. 12
PBE Nb2AgOs2, optimized geometry; D(E_F) = 0.952 states/eV per atom; offset from the most stable computed form = 0.112 eV per atom; crystal system = tetragonal; energy relative to the elements = 1.5 eV/f.u.
1.0
-2.490 -2.651 -2.305
2.362 -3.355 1.307
-3.289 -3.634 3.710
Nb Os Ag
2 2 1
direct
0.250 0.750 0.500
0.750 0.250 0.500
0.617 0.617 0.766
0.383 0.383 0.234
0.000 0.000 0.000